Computed, not measured: a relaxed structure of MnBiSe2 at the PBE level of DFT.

Calculated values
ΔE_f (raw): 31.2 meV/atom
M_tot: 1.38 μB per cell
calculated total energy: -19.9 eV/f.u.

POSCAR file:
```
MnBiSe2
1.0
3.762 0.000 0.000
-1.881 3.258 0.000
0.000 0.000 24.896
Mn Bi Se
3 3 6
Direct
0.000 0.000 0.000 Mn
0.333 0.667 0.667 Mn
0.667 0.333 0.333 Mn
0.000 0.000 0.503 Bi
0.333 0.667 0.169 Bi
0.667 0.333 0.836 Bi
0.000 0.000 0.091 Se
0.000 0.000 0.637 Se
0.333 0.667 0.303 Se
0.333 0.667 0.757 Se
0.667 0.333 0.424 Se
0.667 0.333 0.970 Se
```